Record 1
The following is a DFT calculation (PBE-GGA) of an optimized crystal structure of LiGd3C.

```
LiGd3C
1.0
5.031 0.000 0.000
0.000 5.031 0.000
0.000 0.000 5.031
Gd Li C
3 1 1
direct
0.500 0.000 0.000
0.000 0.000 0.500
0.000 0.500 0.000
0.500 0.500 0.500
0.000 0.000 0.000
```

Values from the calculation:
Size of the total moment (μB per cell): 23.3
DOS(E_F) (states/eV/cell): 5.06
Energy relative to the elements (eV/f.u.): -0.3
SG: Pm-3m, No. 221

---

Record 2
The following is a DFT calculation (PBE-GGA) of an optimized crystal structure of ScGa6Br12.

```
ScGa6Br12
1.0
1.005 -0.780 -10.460
-8.448 -4.783 4.096
2.251 9.458 4.063
Br Ga Sc
12 6 1
direct
0.496 0.300 0.704
0.884 0.891 0.229
0.296 0.504 0.700
0.116 0.109 0.771
0.504 0.700 0.296
0.109 0.771 0.116
0.891 0.229 0.884
0.229 0.884 0.891
0.300 0.704 0.496
0.704 0.496 0.300
0.700 0.296 0.504
0.771 0.116 0.109
0.149 0.356 0.352
0.851 0.644 0.648
0.352 0.149 0.356
0.356 0.352 0.149
0.644 0.648 0.851
0.648 0.851 0.644
0.000 0.000 0.000
```

Values from the calculation:
Size of the total moment (μB per cell): 0.0
Uncorrected formation energy (kJ per mole of atoms): -55
DOS(E_F) (states/eV/cell): 6.75
SG: R-3, No. 148

---

Record 3
The following is a DFT calculation (PBE-GGA) of an optimized crystal structure of CrSn3Ge.

```
CrSn3Ge
1.0
-4.799 1.946 -1.163
-2.079 -2.693 4.073
0.903 4.139 3.197
Sn Ge Cr
3 1 1
direct
0.000 0.000 0.500
0.000 0.500 0.000
0.500 0.000 0.000
0.000 0.000 0.000
0.500 0.500 0.500
```

Values from the calculation:
Size of the total moment (μB per cell): 4.6
Energy above the lowest structure with this stoichiometry (meV/atom): 391
DOS(E_F) (states/eV/cell): 3.21
Energy relative to the elements (eV/f.u.): 4.3
SG: Pm-3m, No. 221

---

Record 4
The following is a DFT calculation (PBE-GGA) of an optimized crystal structure of NaDy2Pu3Se6.

```
NaDy2Pu3Se6
1.0
4.126 0.000 0.000
0.000 8.277 0.341
-2.063 -2.339 8.699
Se Pu Na Dy
6 3 1 2
direct
0.332 0.910 0.664
0.332 0.417 0.664
0.997 0.747 0.993
0.003 0.253 0.007
0.668 0.090 0.336
0.668 0.583 0.336
0.165 0.835 0.331
0.500 0.500 0.000
0.835 0.165 0.669
0.500 0.000 0.000
0.833 0.664 0.666
0.167 0.336 0.334
```

Values from the calculation:
Size of the total moment (μB per cell): 5.9
Uncorrected formation energy (kJ per mole of atoms): -153
DOS(E_F) (states/eV/cell): 35.29
SG: C2/m, No. 12

---

Record 5
The following is a DFT calculation (PBE-GGA) of an optimized crystal structure of RbHfSn3.

```
RbHfSn3
1.0
5.686 0.000 0.000
0.000 5.686 0.000
0.000 0.000 5.686
Sn Rb Hf
3 1 1
direct
0.000 0.500 0.000
0.000 0.000 0.500
0.500 0.000 0.000
0.000 0.000 0.000
0.500 0.500 0.500
```

Values from the calculation:
Size of the total moment (μB per cell): 0.0
Energy above the lowest structure with this stoichiometry (meV/atom): 1770
DOS(E_F) (states/eV/cell): 5.47
Energy relative to the elements (eV/f.u.): 8.6
SG: Pm-3m, No. 221